## Cs2CdAg2 (PBE)

Data for an optimized crystal structure of Cs2CdAg2.

Calculated values
Mass density   4.1 Mg/m³
Formation energy from the elements   0.2030 eV per atom
Calculated volume   486.5 Å³ per cell

Cell: 10.411 10.411 4.488 Å, 90.00 90.00 90.00°
Space group P4/mbm (No. 127)
Inequivalent atoms, fractional coordinates:
Cs 0.152 0.348 0.000 (multiplicity 4)
Cd 0.000 0.000 0.000 (multiplicity 2)
Ag 0.143 0.643 0.500 (multiplicity 4)

=====

## CsCdHg2Bi (PBE)

Data for an optimized crystal structure of CsCdHg2Bi.

Calculated values
Mass density   7.1 Mg/m³
Formation energy from the elements   -0.0623 eV per atom
Calculated volume   200.4 Å³ per cell

Cell: 5.861 5.861 5.832 Å, 90.00 90.00 90.00°
Space group P4/mmm (No. 123)
Inequivalent atoms, fractional coordinates:
Cs 0.000 0.000 0.000 (multiplicity 1)
Cd 0.500 0.500 0.500 (multiplicity 1)
Hg 0.000 0.500 0.500 (multiplicity 2)
Bi 0.500 0.500 0.000 (multiplicity 1)

=====

The following energy above the lowest structure with this stoichiometry values (in eV per formula unit) correspond, in order, to the records above: 0.999; 0.586.